Record 1
Material: CeSi2Mo2
Method: DFT, PBE-GGA
State: relaxed

## Properties
ΔE_f (raw)	-0.460	eV/atom
energy above the lowest structure with this stoichiometry	0.00	kJ/mol of atoms
size of the total moment	1.560	μB per cell

```
data_CeSi2Mo2
_cell_length_a 4.0069
_cell_length_b 4.0069
_cell_length_c 11.2718
_cell_angle_alpha 90.00
_cell_angle_beta 90.00
_cell_angle_gamma 90.00
_space_group_name_H-M_alt 'I 4/m m m'
_space_group_IT_number 139
_space_group_name_Hall '-I 4 2'
loop_
_atom_site_label
_atom_site_fract_x
_atom_site_fract_y
_atom_site_fract_z
Ce1 0.0000 0.0000 0.0000
Si1 0.0000 0.0000 0.3915
Mo1 0.0000 0.5000 0.2500
```

Record 2
Material: Ac2Y2Te2Se3
Method: DFT, PBE-GGA
State: relaxed

## Properties
ΔE_f (raw)	-1.528	eV/atom
size of the total moment	0.005	μB per cell

```
data_Ac2Y2Te2Se3
_cell_length_a 5.3642
_cell_length_b 5.3642
_cell_length_c 20.2423
_cell_angle_alpha 90.00
_cell_angle_beta 90.00
_cell_angle_gamma 90.00
_space_group_name_H-M_alt 'I 4/m m m'
_space_group_IT_number 139
_space_group_name_Hall '-I 4 2'
loop_
_atom_site_label
_atom_site_fract_x
_atom_site_fract_y
_atom_site_fract_z
Ac1 0.0000 0.0000 0.1769
Y1 0.0000 0.5000 0.0000
Te1 0.0000 0.0000 0.4038
Se1 0.0000 0.0000 0.0000
Se2 0.0000 0.5000 0.2500
```